Material: KV2Te4
Method: DFT, PBE
State: optimized geometry

Cell and atoms, written as extended XYZ:
```
7
Lattice="-1.207 -3.468 1.170 -2.681 -1.058 -5.904 8.963 -1.381 -1.198" Properties=species:S:1:pos:R:3 pbc="T T T"
K -1.944 -2.263 -2.367
V 3.577 -1.764 -1.542
Te 3.683 -4.319 -2.658
Te 3.269 -3.254 -6.275
Te 1.392 -1.588 -3.274
Te 1.806 -2.654 0.343
V 1.498 -4.143 -4.391
```

Calculated values
ΔE_f (raw), eV per atom: -0.510
Electronic total energy, eV per cell: -35.474
Volume, Å³ per cell: 218.41
Fermi-level density of states, states/eV/f.u.: 5.267
Magnetization, Bohr magnetons per cell: 3.28



Material: SrFe2Mo
Method: DFT, PBE
State: optimized geometry

Cell and atoms, written as extended XYZ:
```
4
Lattice="-2.621 -1.827 -0.211 0.998 -1.722 2.508 -3.524 4.536 4.515" Properties=species:S:1:pos:R:3 pbc="T T T"
Fe -1.660 -0.682 2.236
Fe -0.318 0.409 0.407
Mo -1.440 1.853 1.845
Sr -3.492 1.675 4.582
```

Calculated values
Electronic total energy, eV per cell: -26.932
Volume, Å³ per cell: 74.90
DFT formation energy, meV per atom: 627
Fermi-level density of states, states/eV/f.u.: 4.542
Magnetization, Bohr magnetons per cell: 4.04



Material: Zr2SiPt
Method: DFT, PBE
State: optimized geometry

Cell and atoms, written as extended XYZ:
```
4
Lattice="-2.457 -1.641 0.926 1.717 -1.324 2.210 -1.931 5.649 4.885" Properties=species:S:1:pos:R:3 pbc="T T T"
Si -1.749 2.550 5.055
Zr -1.856 5.431 4.696
Zr -0.903 0.076 2.916
Pt -1.060 3.101 2.682
```

Calculated values
ΔE_f (raw), eV per atom: -0.516
Electronic total energy, eV per cell: -30.623
Volume, Å³ per cell: 73.96
Fermi-level density of states, states/eV/f.u.: 3.673
Magnetization, Bohr magnetons per cell: 0.00



> Which of these has the lowest Fermi-level density of states?

Zr2SiPt